# Sr2Sn3Pd4Au

A geometry-optimized Sr2Sn3Pd4Au structure (GGA-PBE, Alexandria).

Calculated values
Formation enthalpy at 0 K   -6.7 eV/f.u.
Magnetization   0.00 μB per formula unit
DOS(E_F)   4.05 states/eV per cell

Lattice parameters (Å, degrees): 4.6658 4.6658 10.7779 90.00 90.00 90.00
Space group P-4m2 (No. 115)
Symmetry-distinct sites (fractional):
Sr 0.0000 0.5000 0.2455 [2 per cell]
Sn 0.0000 0.0000 0.0000 [1 per cell]
Sn 0.0000 0.5000 0.6207 [2 per cell]
Pd 0.0000 0.0000 0.5000 [1 per cell]
Pd 0.0000 0.5000 0.8645 [2 per cell]
Pd 0.5000 0.5000 0.5000 [1 per cell]
Au 0.5000 0.5000 0.0000 [1 per cell]